Na3In6Ag5, optimized geometry, DFT PBE-GGA; DOS(E_F) = 0.263 states/eV per atom; formation energy from the elements = -1.35 eV/f.u.
1.0
-3.433 -2.013 2.528
7.004 -5.727 4.951
1.274 9.808 9.543
Na In Ag
6 12 10
direct
0.500 0.751 0.209
0.000 0.249 0.291
0.000 0.249 0.709
0.500 0.751 0.791
0.500 0.732 0.500
0.000 0.268 0.000
0.000 0.385 0.500
0.500 0.013 0.341
0.500 0.955 0.000
0.000 0.987 0.159
0.000 0.579 0.679
0.500 0.421 0.821
0.500 0.013 0.659
0.000 0.579 0.321
0.500 0.615 0.000
0.000 0.045 0.500
0.500 0.421 0.179
0.000 0.987 0.841
0.500 0.447 0.389
0.500 0.151 0.848
0.000 0.553 0.889
0.000 0.849 0.348
0.000 0.849 0.652
0.500 0.208 0.500
0.000 0.792 0.000
0.500 0.151 0.152
0.000 0.553 0.111
0.500 0.447 0.611